Computed, not measured: NiIrNF2 after structural relaxation at the PBE+U level of DFT.

Unit cell a=3.3679 b=3.3679 c=6.6418 alpha=90.00 beta=90.00 gamma=90.00
With the nearest neighbours (Å) after each atom.
Atoms (fractional coordinates):
Ir1 0.5000 0.5000 0.5000  4 N 2.38
F1 0.5000 0.0000 0.0000  2 Ni 1.68
F2 0.0000 0.5000 0.0000  2 Ni 1.68
Ni1 0.0000 0.0000 0.0000  4 F 1.68
N1 0.0000 0.0000 0.5000  4 Ir 2.38

Computed properties:
density = 6.677 g cm⁻³
total DFT energy (no corrections) = -4.2680 eV per atom
N(E_F) = 2.36 states/eV/cell
SG = P4/mmm (123)